# 1
VASP calculation (PBE) on RbTi6S12 after structural relaxation.

Results
For the formation energy (no corrections), the calculation gives -22.99 kcal/mol of atoms. For the total energy, the calculation gives -116.8 eV per formula unit. As for the space-group type: R-3m. The volume is 19.28 Å³ per atom.

Unit cell a=7.5150 b=7.5150 c=7.5150 alpha=105.57 beta=105.57 gamma=105.57
Sites, in units of the cell vectors:
Rb (0.0000, 0.0000, 0.0000)
Ti (0.6385, 0.2563, 0.2563)
Ti (0.2563, 0.2563, 0.6385)
Ti (0.2563, 0.6385, 0.2563)
Ti (0.7437, 0.7437, 0.3615)
Ti (0.3615, 0.7437, 0.7437)
Ti (0.7437, 0.3615, 0.7437)
S (0.8779, 0.1221, 0.5000)
S (0.8275, 0.5561, 0.5561)
S (0.5561, 0.5561, 0.8275)
S (0.4439, 0.1725, 0.4439)
S (0.4439, 0.4439, 0.1725)
S (0.1725, 0.4439, 0.4439)
S (0.1221, 0.5000, 0.8779)
S (0.5000, 0.8779, 0.1221)
S (0.1221, 0.8779, 0.5000)
S (0.8779, 0.5000, 0.1221)
S (0.5000, 0.1221, 0.8779)
S (0.5561, 0.8275, 0.5561)

***

# 2
VASP calculation (PBE) on ScInCu2 after structural relaxation.

Results
For the total energy, the calculation gives -17.9 eV per formula unit. As for the space-group type: P4/mmm. The volume is 17.21 Å³ per atom.

Unit cell a=3.5342 b=4.4140 c=4.4140 alpha=90.00 beta=90.00 gamma=90.00
Sites, in units of the cell vectors:
Sc (0.5000, 0.0000, 0.0000)
Cu (0.0000, 0.0000, 0.5000)
Cu (0.0000, 0.5000, 0.0000)
In (0.5000, 0.5000, 0.5000)

***

# 3
VASP calculation (PBE) on Er6GaPd2 after structural relaxation.

Results
For the total energy, the calculation gives -45.9 eV per formula unit. As for the space-group type: Immm. The volume is 25.26 Å³ per atom.

Unit cell a=8.4009 b=8.4009 c=8.4009 alpha=105.61 beta=110.48 gamma=112.40
Sites, in units of the cell vectors:
Er (0.5381, 0.7174, 0.8207)
Er (0.4619, 0.2826, 0.1793)
Er (0.1034, 0.2826, 0.8207)
Er (0.8966, 0.7174, 0.1793)
Er (0.8068, 0.7608, 0.5675)
Er (0.1932, 0.2392, 0.4325)
Er (0.1932, 0.7608, 0.9540)
Er (0.8068, 0.2392, 0.0460)
Er (0.7031, 0.3734, 0.6703)
Er (0.2969, 0.6266, 0.3297)
Er (0.2969, 0.9671, 0.6703)
Er (0.7031, 0.0329, 0.3297)
Ga (0.0000, 0.5000, 0.5000)
Ga (0.0000, 0.0000, 0.0000)
Pd (0.5000, 0.3656, 0.8656)
Pd (0.5000, 0.6344, 0.1344)
Pd (0.6578, 0.0000, 0.6578)
Pd (0.3422, 0.0000, 0.3422)

***

# 4
VASP calculation (PBE) on Pa2As2IrN2 after structural relaxation.

Results
For the formation energy (no corrections), the calculation gives -10.93 kcal/mol of atoms. For the total energy, the calculation gives -57.1 eV per formula unit. As for the space-group type: P-3m1. The volume is 19.91 Å³ per atom.

Unit cell a=3.8265 b=3.8265 c=10.9901 alpha=90.00 beta=90.00 gamma=120.00
Sites, in units of the cell vectors:
Pa (0.6667, 0.3333, 0.1740)
Pa (0.3333, 0.6667, 0.8260)
As (0.0000, 0.0000, 0.6009)
As (0.0000, 0.0000, 0.3991)
Ir (0.0000, 0.0000, 0.0000)
N (0.6667, 0.3333, 0.7953)
N (0.3333, 0.6667, 0.2047)

***

# 5
VASP calculation (PBE) on Ca2ZnSi after structural relaxation.

Results
For the formation energy (no corrections), the calculation gives -2.53 kcal/mol of atoms. For the total energy, the calculation gives -11.1 eV per formula unit. As for the space-group type: I-4m2. The value obtained for the energy above the most stable polymorph in this dataset is 291 meV/atom. The volume is 23.89 Å³ per atom.

Unit cell a=5.7734 b=5.7734 c=5.7734 alpha=134.75 beta=134.75 gamma=65.92
Sites, in units of the cell vectors:
Ca (0.0000, 0.0000, 0.0000)
Ca (0.2500, 0.7500, 0.5000)
Si (0.5000, 0.5000, 0.0000)
Zn (0.7500, 0.2500, 0.5000)

***

# 6
VASP calculation (PBE) on MgZr12Al3 after structural relaxation.

Results
For the total energy, the calculation gives -118.9 eV per formula unit. As for the space-group type: P4/mmm. The volume is 21.41 Å³ per atom.

Unit cell a=4.4120 b=4.4120 c=17.5970 alpha=90.00 beta=90.00 gamma=90.00
Sites, in units of the cell vectors:
Mg (0.0000, 0.0000, 0.0000)
Zr (0.5000, 0.5000, 0.0000)
Zr (0.5000, 0.5000, 0.2530)
Zr (0.5000, 0.5000, 0.5000)
Zr (0.5000, 0.5000, 0.7470)
Zr (0.5000, 0.0000, 0.1298)
Zr (0.5000, 0.0000, 0.3763)
Zr (0.5000, 0.0000, 0.6237)
Zr (0.5000, 0.0000, 0.8702)
Zr (0.0000, 0.5000, 0.1298)
Zr (0.0000, 0.5000, 0.3763)
Zr (0.0000, 0.5000, 0.6237)
Zr (0.0000, 0.5000, 0.8702)
Al (0.0000, 0.0000, 0.2514)
Al (0.0000, 0.0000, 0.5000)
Al (0.0000, 0.0000, 0.7486)